# NiHgOs, optimized geometry, DFT PBE
# **Crystal system**: tetragonal
# **Total magnetization**: 0.000 μB per cell
# **Calculated volume**: 46.1 Å³ per cell
# **Energy above the most stable polymorph in this dataset**: 6 meV/atom
# **ΔE_f**: 0.508 eV/atom
data_NiHgOs
_cell_length_a 6.200
_cell_length_b 6.200
_cell_length_c 6.200
_cell_angle_alpha 153.89
_cell_angle_beta 153.89
_cell_angle_gamma 37.26
_symmetry_space_group_name_H-M 'P 1'
_symmetry_Int_Tables_number 1
_symmetry_space_group_name_Hall 'P 1'
loop_
_atom_site_label
_atom_site_fract_x
_atom_site_fract_y
_atom_site_fract_z
Hg1 0.994 0.994 0.000
Os1 0.687 0.687 0.000
Ni1 0.319 0.319 0.000